Li5Al: PBEsol geometry, meta-GGA SCAN.

The calculation puts the formation enthalpy at 0 K at -0.035 eV per atom.

It has space group Cmmm (No. 65), with a = 4.0583 Å, b = 12.2252 Å, c = 4.2409 Å, α = 90.00°, β = 90.00° and γ = 90.00°. The inequivalent atoms are Li at (0.0000, 0.0000, 0.0000), Li at (0.0000, 0.1647, 0.5000), Li at (0.0000, 0.3433, 0.0000) and Al at (0.0000, 0.5000, 0.5000).